Hf2TaBi PBE optimized geometry; energy = -66.05 eV for the cell shown; total magnetic moment = 0.00 μB per formula unit; calculated volume = 23.67 A^3/atom; theoretical density = 13.10 g/cm3
1.0
-3.446 -0.567 -2.468
-1.590 -2.760 2.853
-7.290 6.127 5.068
Hf Bi Ta
4 2 2
Cartesian
-4.160 0.835 0.092
-3.262 -0.266 2.731
-7.363 3.336 3.958
-9.867 1.697 4.125
0.000 0.000 0.000
-6.627 1.949 1.396
-2.518 -1.663 0.193
-5.699 0.852 4.057



Hf2TaBi PBE optimized geometry; energy = -70.71 eV for the cell shown; total magnetic moment = 0.00 μB per formula unit; calculated volume = 23.72 A^3/atom; theoretical density = 13.07 g/cm3
1.0
3.465 0.000 0.000
0.000 6.336 0.671
-1.743 -0.906 8.545
Hf Ta Bi
4 2 2
Cartesian
0.013 3.451 7.867
1.757 0.822 2.452
1.757 3.989 2.788
0.013 0.283 7.531
0.023 5.757 1.222
0.024 2.589 0.887
0.886 5.304 5.496
-0.849 2.136 5.160



Hf2TaBi PBE optimized geometry; energy = -35.87 eV for the cell shown; total magnetic moment = 0.00 μB per formula unit; calculated volume = 21.71 A^3/atom; theoretical density = 14.28 g/cm3
1.0
-0.605 2.258 2.816
-2.981 1.298 -1.680
-3.606 -4.556 2.878
Hf Bi Ta
2 1 1
Cartesian
-2.650 -3.348 2.115
-0.956 -1.208 0.763
-1.793 1.778 0.568
-3.596 -0.500 2.007